# TiTlMo2O

A relaxed TiTlMo2O crystal (PBE+U, the Alexandria database).

a b c (Å): 4.6258 4.6258 4.0411
angles (deg): 90.00 90.00 90.00
Space group P4/mmm (No. 123)
Unique sites:
Ti 0.0000 0.0000 0.0000 (multiplicity 1)
Tl 0.5000 0.5000 0.0000 (multiplicity 1)
Mo 0.0000 0.5000 0.5000 (multiplicity 2)
O 0.0000 0.0000 0.5000 (multiplicity 1)

E_tot = -5.837 eV per atom
crystal system = tetragonal

***

# TiTl2MoO6

A relaxed TiTl2MoO6 crystal (PBE+U, the Alexandria database).

a b c (Å): 5.6851 5.6851 8.0329
angles (deg): 90.00 90.00 90.00
Space group I4/mmm (No. 139)
Unique sites:
Ti 0.0000 0.0000 0.0000 (multiplicity 2)
Tl 0.0000 0.5000 0.2500 (multiplicity 4)
Mo 0.0000 0.0000 0.5000 (multiplicity 2)
O 0.0000 0.0000 0.2533 (multiplicity 4)
O 0.2468 0.2468 0.5000 (multiplicity 8)

E_tot = -6.585 eV per atom
crystal system = tetragonal

***

# TmTiMoO6

A relaxed TmTiMoO6 crystal (PBE+U, the Alexandria database).

a b c (Å): 5.2657 5.2657 8.8705
angles (deg): 90.00 90.00 120.00
Space group P-31c (No. 163)
Unique sites:
Tm 0.3333 0.6667 0.2500 (multiplicity 2)
Ti 0.3333 0.6667 0.7500 (multiplicity 2)
Mo 0.0000 0.0000 0.0000 (multiplicity 2)
O 0.0381 0.3368 0.6267 (multiplicity 12)

E_tot = -7.991 eV per atom
crystal system = trigonal